Material: Na3Cr3WO8
Method: DFT, PBE+U
State: relaxed

Calculated values
For the density, the calculation gives 4.95 Mg/m³. As for the density of states at the Fermi level: 0.000 states/eV per atom. The total energy is -101.80 eV per cell.

Unit cell a=6.1036 b=6.1836 c=6.5549 alpha=118.43 beta=90.00 gamma=119.57
Site moments in Bohr magnetons follow the coordinates.
Fractional coordinates of all 15 atoms:
1 Cr 0.0000 0.5000 0.5000  3.04
2 Cr 0.5000 0.5000 0.5000  3.04
3 Cr 0.5000 0.0000 0.5000  3.01
4 O 0.7656 0.5313 0.3081  0.00
5 O 0.2344 0.4687 0.6919  0.00
6 O 0.7717 0.0417 0.3083  -0.02
7 O 0.2705 0.5411 0.3066  -0.05
8 O 0.7295 0.4589 0.6934  -0.05
9 O 0.2283 0.9583 0.6917  -0.02
10 O 0.2699 0.0417 0.3083  -0.02
11 O 0.7301 0.9583 0.6917  -0.02
12 Na 0.0000 0.5000 0.0000  0.00
13 Na 0.5000 0.5000 0.0000  0.00
14 Na 0.0000 0.0000 0.0000  0.00
15 W 0.0000 0.0000 0.5000  1.84